# 1
Entry from the Alexandria database: a relaxed structure of Nd4SnI5 (PBE).

a = 4.418 Å, b = 9.253 Å, c = 10.106 Å
α = 101.82°, β = 102.63°, γ = 90.00°
Atoms (fractional coordinates):
Nd 0.344 0.927 0.689
Nd 0.999 0.772 0.998
Nd 0.656 0.073 0.311
Nd 0.001 0.228 0.002
I 0.500 0.500 0.000
I 0.168 0.330 0.336
I 0.830 0.176 0.659
I 0.832 0.670 0.664
I 0.170 0.824 0.341
Sn 0.500 0.000 0.000

symmetry = C2/m
V = 394 Å³ per cell
crystal system = monoclinic
energy relative to the elements, uncorrected = -113.0 kJ/mol of atoms

# 2
Entry from the Alexandria database: a relaxed structure of KIn6O8 (PBE).

a = 7.401 Å, b = 7.401 Å, c = 7.040 Å
α = 58.29°, β = 58.29°, γ = 60.00°
Atoms (fractional coordinates):
In 0.405 0.405 0.282
In 0.595 0.092 0.718
In 0.405 0.908 0.282
In 0.595 0.595 0.718
In 0.092 0.595 0.718
In 0.908 0.405 0.282
O 0.732 0.732 0.805
O 0.724 0.724 0.324
O 0.276 0.276 0.676
O 0.276 0.772 0.676
O 0.724 0.228 0.324
O 0.228 0.724 0.324
O 0.772 0.276 0.676
O 0.268 0.268 0.195
K 0.000 0.000 0.000

symmetry = R-3m
V = 265 Å³ per cell
crystal system = trigonal
energy relative to the elements, uncorrected = -122.2 kJ/mol of atoms

# 3
Entry from the Alexandria database: a relaxed structure of As3Pd5 (PBE).

a = 6.333 Å, b = 7.502 Å, c = 11.140 Å
α = 90.00°, β = 90.00°, γ = 90.00°
Atoms (fractional coordinates):
As 0.514 0.520 0.162
As 0.514 0.980 0.162
As 0.887 0.250 0.992
As 0.014 0.020 0.338
As 0.986 0.520 0.662
As 0.113 0.750 0.008
As 0.613 0.250 0.492
As 0.986 0.980 0.662
As 0.486 0.020 0.838
As 0.486 0.480 0.838
As 0.387 0.750 0.508
As 0.014 0.480 0.338
Pd 0.757 0.250 0.220
Pd 0.883 0.546 0.882
Pd 0.324 0.250 0.322
Pd 0.383 0.046 0.618
Pd 0.383 0.454 0.618
Pd 0.824 0.750 0.178
Pd 0.972 0.750 0.483
Pd 0.883 0.954 0.882
Pd 0.257 0.750 0.280
Pd 0.117 0.454 0.118
Pd 0.176 0.250 0.822
Pd 0.472 0.250 0.017
Pd 0.028 0.250 0.517
Pd 0.243 0.750 0.780
Pd 0.743 0.250 0.720
Pd 0.676 0.750 0.678
Pd 0.617 0.546 0.382
Pd 0.117 0.046 0.118
Pd 0.528 0.750 0.983
Pd 0.617 0.954 0.382

symmetry = Pnma
DFT formation energy = -0.3127 eV per atom
V = 529 Å³ per cell
crystal system = orthorhombic